No. 1
Entry from the Alexandria database: a geometry-optimized Ca2ReAu structure (PBE-GGA).

a b c (Å): 6.4900 6.4900 6.4900
angles (deg): 152.87 132.50 55.56
Positions (direct):
Au (0.2779, 0.7779, 0.5000)
Ca (0.7197, 0.2197, 0.5000)
Ca (0.0278, 0.0278, 0.0000)
Re (0.4746, 0.4746, 0.0000)

Computed properties:
SG: Imm2 (44)
Fermi-level density of states in states/eV per cell: 4.22
Calculated formation energy in meV per atom: 290.8
E_tot in eV for the cell shown: -18.6
Distance to the lowest polymorph of the same formula in meV per atom: 52

No. 2
Entry from the Alexandria database: a geometry-optimized CaReAu2 structure (PBE-GGA).

a b c (Å): 2.9702 2.9702 8.4971
angles (deg): 90.00 90.00 89.99
Last column: magnetic moment on the atom in μB.
Positions (direct):
Ca (0.5000, 0.5000, 0.2500)  0.02
Au (0.0000, 0.0000, 0.9770)  0.04
Au (0.0000, 0.0000, 0.5230)  0.04
Re (0.5000, 0.5000, 0.7500)  0.46

Computed properties:
SG: P4/mmm (123)
Fermi-level density of states in states/eV per cell: 5.29
Calculated formation energy in meV per atom: 279.5
E_tot in eV for the cell shown: -19.9
Distance to the lowest polymorph of the same formula in meV per atom: 113

No. 3
Entry from the Alexandria database: a geometry-optimized CaReAu2 structure (PBE-GGA).

a b c (Å): 5.3893 5.3893 5.3893
angles (deg): 135.03 135.03 65.49
Last column: magnetic moment on the atom in μB.
Positions (direct):
Re (0.7500, 0.2500, 0.5000)  1.96
Ca (0.5000, 0.5000, 0.0000)  0.03
Au (0.0000, 0.0000, 0.0000)  0.08
Au (0.2500, 0.7500, 0.5000)  0.07

Computed properties:
SG: I-4m2 (119)
Fermi-level density of states in states/eV per cell: 3.25
Calculated formation energy in meV per atom: 380.2
E_tot in eV for the cell shown: -19.5
Distance to the lowest polymorph of the same formula in meV per atom: 213

No. 4
Entry from the Alexandria database: a geometry-optimized CaReSiAu2 structure (PBE-GGA).

a b c (Å): 4.7147 5.4012 4.7147
angles (deg): 90.00 90.00 90.00
Last column: magnetic moment on the atom in μB.
Positions (direct):
Au (0.0000, 0.0000, 0.5000)  0.05
Au (0.5000, 0.0000, 0.0000)  0.04
Si (0.0000, 0.0000, 0.0000)  0.03
Ca (0.0000, 0.5000, 0.0000)  -0.01
Re (0.5000, 0.5000, 0.5000)  3.37

Computed properties:
SG: P4/mmm (123)
Fermi-level density of states in states/eV per cell: 2.88
E_tot in eV for the cell shown: -21.3
Formation energy from raw total energies in meV per atom: 1032

No. 5
Entry from the Alexandria database: a geometry-optimized CaReTc2Au structure (PBE-GGA).

a b c (Å): 4.9232 4.9232 5.0041
angles (deg): 90.00 90.00 90.00
Last column: magnetic moment on the atom in μB.
Positions (direct):
Tc (0.5000, 0.0000, 0.0000)  1.56
Tc (0.0000, 0.5000, 0.0000)  1.56
Au (0.0000, 0.0000, 0.0000)  0.17
Ca (0.0000, 0.0000, 0.5000)  0.00
Re (0.5000, 0.5000, 0.5000)  2.43

Computed properties:
SG: P4/mmm (123)
Fermi-level density of states in states/eV per cell: 6.16
Calculated formation energy in meV per atom: 2223.3
E_tot in eV for the cell shown: -27.3

No. 6
Entry from the Alexandria database: a geometry-optimized CaTl2ReAu structure (PBE-GGA).

a b c (Å): 5.2407 5.2236 5.2407
angles (deg): 90.00 90.00 90.00
Positions (direct):
Ca (0.5000, 0.5000, 0.5000)
Tl (0.5000, 0.0000, 0.0000)
Tl (0.0000, 0.0000, 0.5000)
Au (0.0000, 0.5000, 0.0000)
Re (0.0000, 0.0000, 0.0000)

Computed properties:
SG: P4/mmm (123)
Fermi-level density of states in states/eV per cell: 2.74
Calculated formation energy in meV per atom: 445.8
E_tot in eV for the cell shown: -20.2